Entry 1:
A relaxed structure of PrTm4Hg5, computed with PBE-GGA.

Cell lengths 3.695, 3.695, 18.736 Å; angles 90.00, 90.00, 90.00 degrees
Positions (direct):
Pr: 0.000 0.000 0.000
Tm: 0.000 0.000 0.207
Tm: 0.000 0.000 0.403
Tm: 0.000 0.000 0.597
Tm: 0.000 0.000 0.793
Hg: 0.500 0.500 0.114
Hg: 0.500 0.500 0.305
Hg: 0.500 0.500 0.500
Hg: 0.500 0.500 0.695
Hg: 0.500 0.500 0.886

Results
As for the theoretical density: 11.81 Mg/m³. The calculation puts the density of states at the Fermi level at 7.3 states/eV/cell. The value obtained for the total magnetic moment is 0.54 Bohr magnetons per cell. The space group is P4/mmm. The formation energy is -0.477 eV per atom.


Entry 2:
A relaxed structure of PrTm5Hg4, computed with PBE-GGA.

Cell lengths 3.655, 3.655, 19.874 Å; angles 90.00, 90.00, 90.00 degrees
Positions (direct):
Pr: 0.000 0.000 0.000
Tm: 0.500 0.500 0.127
Tm: 0.500 0.500 0.314
Tm: 0.500 0.500 0.500
Tm: 0.500 0.500 0.686
Tm: 0.500 0.500 0.873
Hg: 0.000 0.000 0.219
Hg: 0.000 0.000 0.406
Hg: 0.000 0.000 0.594
Hg: 0.000 0.000 0.781

Results
As for the theoretical density: 11.18 Mg/m³. The calculation puts the density of states at the Fermi level at 8.9 states/eV/cell. The value obtained for the total magnetic moment is 0.00 Bohr magnetons per cell. The space group is P4/mmm. The formation energy is -0.380 eV per atom.


Entry 3:
A relaxed structure of PrTm4Hg2, computed with PBE-GGA.

Cell lengths 10.728, 10.728, 10.728 Å; angles 26.84, 26.84, 26.84 degrees
Positions (direct):
Pr: 0.000 0.000 0.000
Tm: 0.202 0.202 0.202
Tm: 0.397 0.397 0.397
Tm: 0.603 0.603 0.603
Tm: 0.798 0.798 0.798
Hg: 0.103 0.103 0.103
Hg: 0.897 0.897 0.897

Results
As for the theoretical density: 9.11 Mg/m³. The calculation puts the density of states at the Fermi level at 9.1 states/eV/cell. The value obtained for the total magnetic moment is 0.01 Bohr magnetons per cell. The space group is R-3m. The formation energy is 0.024 eV per atom.


Entry 4:
A relaxed structure of Pr12TmHg6, computed with PBE-GGA.

Cell lengths 9.275, 9.275, 9.275 Å; angles 110.42, 110.42, 110.42 degrees
Positions (direct):
Pr: 0.025 0.207 0.284
Pr: 0.207 0.284 0.025
Pr: 0.241 0.708 0.582
Pr: 0.284 0.025 0.207
Pr: 0.292 0.418 0.759
Pr: 0.418 0.759 0.292
Pr: 0.582 0.241 0.708
Pr: 0.708 0.582 0.241
Pr: 0.716 0.975 0.793
Pr: 0.759 0.292 0.418
Pr: 0.793 0.716 0.975
Pr: 0.975 0.793 0.716
Tm: 0.500 0.500 0.500
Hg: 0.037 0.539 0.866
Hg: 0.134 0.963 0.461
Hg: 0.461 0.134 0.963
Hg: 0.539 0.866 0.037
Hg: 0.866 0.037 0.539
Hg: 0.963 0.461 0.134

Results
As for the theoretical density: 8.60 Mg/m³. The calculation puts the density of states at the Fermi level at 21.0 states/eV/cell. The value obtained for the total magnetic moment is 0.00 Bohr magnetons per cell. The space group is R-3. The formation energy is -0.194 eV per atom.


Entry 5:
A relaxed structure of Pr4TmHg3, computed with PBE-GGA.

Cell lengths 3.801, 5.547, 11.272 Å; angles 90.00, 90.00, 90.00 degrees
Positions (direct):
Pr: 0.000 0.000 0.000
Pr: 0.000 0.000 0.500
Pr: 0.000 0.500 0.237
Pr: 0.000 0.500 0.763
Tm: 0.500 0.500 0.500
Hg: 0.500 0.000 0.260
Hg: 0.500 0.000 0.740
Hg: 0.500 0.500 0.000

Results
As for the theoretical density: 9.32 Mg/m³. The calculation puts the density of states at the Fermi level at 10.8 states/eV/cell. The value obtained for the total magnetic moment is 1.06 Bohr magnetons per cell. The space group is Pmmm. The formation energy is -0.305 eV per atom.


Entry 6:
A relaxed structure of Pr5TmHg5, computed with PBE-GGA.

Cell lengths 8.961, 8.961, 7.318 Å; angles 109.50, 109.50, 37.81 degrees
Positions (direct):
Pr: 0.000 0.000 0.000
Pr: 0.306 0.306 0.257
Pr: 0.374 0.374 0.804
Pr: 0.626 0.626 0.196
Pr: 0.694 0.694 0.743
Tm: 0.000 0.000 0.500
Hg: 0.156 0.156 0.874
Hg: 0.171 0.171 0.456
Hg: 0.500 0.500 0.500
Hg: 0.829 0.829 0.544
Hg: 0.844 0.844 0.126

Results
As for the theoretical density: 9.24 Mg/m³. The calculation puts the density of states at the Fermi level at 12.9 states/eV/cell. The value obtained for the total magnetic moment is 0.00 Bohr magnetons per cell. The space group is C2/m. The formation energy is -0.260 eV per atom.


Entry 7:
A relaxed structure of PrTm2Hg4, computed with PBE-GGA.

Cell lengths 6.448, 6.448, 5.112 Å; angles 90.00, 90.00, 112.30 degrees
Positions (direct):
Pr: 0.000 0.000 0.000
Tm: 0.255 0.745 0.500
Tm: 0.745 0.255 0.500
Hg: 0.000 0.500 0.000
Hg: 0.279 0.279 0.500
Hg: 0.500 0.000 0.000
Hg: 0.721 0.721 0.500

Results
As for the theoretical density: 10.82 Mg/m³. The calculation puts the density of states at the Fermi level at 4.3 states/eV/cell. The value obtained for the total magnetic moment is 0.00 Bohr magnetons per cell. The space group is Cmmm. The formation energy is -0.368 eV per atom.


Entry 8:
A relaxed structure of Pr3TmHg, computed with PBE-GGA.

Cell lengths 6.944, 6.944, 8.168 Å; angles 108.45, 108.45, 66.83 degrees
Positions (direct):
Pr: 0.046 0.046 0.232
Pr: 0.092 0.579 0.353
Pr: 0.421 0.908 0.647
Pr: 0.579 0.092 0.353
Pr: 0.908 0.421 0.647
Pr: 0.954 0.954 0.768
Tm: 0.441 0.441 0.759
Tm: 0.559 0.559 0.241
Hg: 0.271 0.271 0.998
Hg: 0.729 0.729 0.002

Results
As for the theoretical density: 7.85 Mg/m³. For the offset from the most stable computed form, the calculation gives 0.00 eV/f.u. The calculation puts the density of states at the Fermi level at 10.4 states/eV/cell. The value obtained for the total magnetic moment is 0.00 Bohr magnetons per cell. The space group is C2/m. The formation energy is -0.085 eV per atom.


Entry 9:
A relaxed structure of Pr2Tm3Hg4, computed with PBE-GGA.

Cell lengths 9.530, 9.530, 8.192 Å; angles 90.00, 90.00, 137.10 degrees
Positions (direct):
Pr: 0.096 0.904 0.908
Pr: 0.404 0.596 0.408
Pr: 0.596 0.404 0.592
Pr: 0.904 0.096 0.092
Tm: 0.000 0.000 0.500
Tm: 0.011 0.489 0.750
Tm: 0.489 0.011 0.250
Tm: 0.500 0.500 0.000
Tm: 0.511 0.989 0.750
Tm: 0.989 0.511 0.250
Hg: 0.170 0.830 0.526
Hg: 0.184 0.316 0.750
Hg: 0.316 0.184 0.250
Hg: 0.330 0.670 0.026
Hg: 0.670 0.330 0.974
Hg: 0.684 0.816 0.750
Hg: 0.816 0.684 0.250
Hg: 0.830 0.170 0.474

Results
As for the theoretical density: 10.43 Mg/m³. The calculation puts the density of states at the Fermi level at 15.7 states/eV/cell. The value obtained for the total magnetic moment is 0.00 Bohr magnetons per cell. The space group is Cmce. The formation energy is -0.362 eV per atom.


Entry 10:
A relaxed structure of Pr2VHg, computed with PBE-GGA.

Cell lengths 11.345, 11.345, 11.345 Å; angles 17.30, 17.30, 17.30 degrees
Positions (direct):
Pr: 0.085 0.085 0.085
Pr: 0.915 0.915 0.915
V: 0.000 0.000 0.000
Hg: 0.500 0.500 0.500

Results
As for the theoretical density: 7.86 Mg/m³. The calculation puts the density of states at the Fermi level at 6.5 states/eV/cell. The value obtained for the total magnetic moment is 3.17 Bohr magnetons per cell. The space group is R-3m. The formation energy is 0.529 eV per atom.


Entry 11:
A relaxed structure of PrY3Hg4, computed with PBE-GGA.

Cell lengths 5.286, 5.286, 7.634 Å; angles 90.00, 90.00, 90.00 degrees
Positions (direct):
Pr: 0.000 0.000 0.000
Y: 0.000 0.000 0.500
Y: 0.500 0.500 0.000
Y: 0.500 0.500 0.500
Hg: 0.000 0.500 0.261
Hg: 0.000 0.500 0.739
Hg: 0.500 0.000 0.261
Hg: 0.500 0.000 0.739

Results
As for the theoretical density: 9.42 Mg/m³. The calculation puts the density of states at the Fermi level at 7.9 states/eV/cell. The value obtained for the total magnetic moment is 0.78 Bohr magnetons per cell. The space group is P4/mmm. The formation energy is -0.494 eV per atom.


Entry 12:
A relaxed structure of PrYHg2, computed with PBE-GGA.

Cell lengths 5.377, 5.377, 5.377 Å; angles 60.00, 60.00, 60.00 degrees
Positions (direct):
Pr: 0.000 0.000 0.000
Y: 0.500 0.500 0.500
Hg: 0.250 0.250 0.250
Hg: 0.750 0.750 0.750

Results
As for the theoretical density: 9.53 Mg/m³. For the offset from the most stable computed form, the calculation gives 0.03 eV/f.u. The calculation puts the density of states at the Fermi level at 4.3 states/eV/cell. The value obtained for the total magnetic moment is 0.73 Bohr magnetons per cell. The space group is Fm-3m. The formation energy is -0.481 eV per atom.